# 1
# Lu2Fe2Si2C PBE relaxed
data_Lu2Fe2Si2C
_cell_length_a 10.408
_cell_length_b 3.873
_cell_length_c 6.594
_cell_angle_alpha 90.00
_cell_angle_beta 129.22
_cell_angle_gamma 90.00
_space_group_name_H-M_alt 'C 1 2/m 1'
_space_group_IT_number 12
loop_
_space_group_symop_operation_xyz
'x,y,z'
'-x,-y,-z'
'-x,y,-z'
'x,-y,z'
'x+1/2,y+1/2,z'
'-x+1/2,-y+1/2,-z'
'-x+1/2,y+1/2,-z'
'x+1/2,-y+1/2,z'
loop_
_atom_site_label
_atom_site_type_symbol
_atom_site_fract_x
_atom_site_fract_y
_atom_site_fract_z
Lu1 Lu 0.059 0.000 0.326
Fe1 Fe 0.203 0.500 0.807
Si1 Si 0.157 0.500 0.107
C1 C 0.000 0.500 0.500
# N(E_F) ... 3.3 states/eV/f.u.
# Formation energy (no corrections) ... -0.7012 eV per atom
# Crystal system ... monoclinic

# 2
# AcNdIr PBE relaxed
data_AcNdIr
_cell_length_a 6.814
_cell_length_b 4.356
_cell_length_c 7.509
_cell_angle_alpha 90.00
_cell_angle_beta 110.68
_cell_angle_gamma 90.00
_space_group_name_H-M_alt 'P 1 2/m 1'
_space_group_IT_number 10
loop_
_space_group_symop_operation_xyz
'x,y,z'
'-x,-y,-z'
'-x,y,-z'
'x,-y,z'
loop_
_atom_site_label
_atom_site_type_symbol
_atom_site_fract_x
_atom_site_fract_y
_atom_site_fract_z
Ac1 Ac 0.249 0.000 0.245
Nd1 Nd 0.219 0.500 0.738
Ir1 Ir 0.000 0.000 0.500
Ir2 Ir 0.000 0.500 0.000
# N(E_F) ... 3.0 states/eV/f.u.
# Offset from the most stable computed form ... 0.000 eV per atom
# Crystal system ... monoclinic
# Formation energy from the elements ... -155.8 kJ/mol of formula units

# 3
# K2GaTcO6 PBE relaxed
data_K2GaTcO6
_cell_length_a 7.875
_cell_length_b 7.875
_cell_length_c 7.875
_cell_angle_alpha 90.00
_cell_angle_beta 90.00
_cell_angle_gamma 90.00
_space_group_name_H-M_alt 'F m -3 m'
_space_group_IT_number 225
_space_group_name_Hall '-F 4 2 3'
loop_
_atom_site_label
_atom_site_type_symbol
_atom_site_fract_x
_atom_site_fract_y
_atom_site_fract_z
K1 K 0.250 0.250 0.250
Ga1 Ga 0.000 0.000 0.000
Tc1 Tc 0.000 0.000 0.500
O1 O 0.000 0.000 0.258
# Formation energy (no corrections) ... -1.5162 eV per atom
# Crystal system ... cubic

# 4
# Tb7Cd2Sb2 PBE relaxed
data_Tb7Cd2Sb2
_cell_length_a 8.287
_cell_length_b 10.993
_cell_length_c 7.596
_cell_angle_alpha 90.00
_cell_angle_beta 90.00
_cell_angle_gamma 90.00
_space_group_name_H-M_alt 'C m m m'
_space_group_IT_number 65
_space_group_name_Hall '-C 2 2'
loop_
_atom_site_label
_atom_site_type_symbol
_atom_site_fract_x
_atom_site_fract_y
_atom_site_fract_z
Tb1 Tb 0.000 0.000 0.000
Tb2 Tb 0.000 0.500 0.272
Tb3 Tb 0.250 0.250 0.282
Cd1 Cd 0.171 0.000 0.500
Sb1 Sb 0.000 0.286 0.000
# N(E_F) ... 12.7 states/eV/f.u.
# Formation energy (no corrections) ... -0.2728 eV per atom
# Crystal system ... orthorhombic

# 5
# Li2CdCuN PBE relaxed
data_Li2CdCuN
_cell_length_a 4.261
_cell_length_b 4.261
_cell_length_c 3.726
_cell_angle_alpha 90.00
_cell_angle_beta 90.00
_cell_angle_gamma 90.00
_space_group_name_H-M_alt 'P 4/m m m'
_space_group_IT_number 123
_space_group_name_Hall '-P 4 2'
loop_
_atom_site_label
_atom_site_type_symbol
_atom_site_fract_x
_atom_site_fract_y
_atom_site_fract_z
Li1 Li 0.000 0.500 0.000
Cd1 Cd 0.000 0.000 0.500
Cu1 Cu 0.500 0.500 0.500
N1 N 0.500 0.500 0.000
# N(E_F) ... 1.2 states/eV/f.u.
# Formation energy (no corrections) ... -0.1240 eV per atom
# Crystal system ... tetragonal

# 6
# RbAc2SiO5 PBE relaxed
data_RbAc2SiO5
_cell_length_a 7.297
_cell_length_b 7.297
_cell_length_c 5.629
_cell_angle_alpha 90.00
_cell_angle_beta 90.00
_cell_angle_gamma 90.00
_space_group_name_H-M_alt 'P 4/m b m'
_space_group_IT_number 127
_space_group_name_Hall '-P 4 2ab'
loop_
_atom_site_label
_atom_site_type_symbol
_atom_site_fract_x
_atom_site_fract_y
_atom_site_fract_z
Rb1 Rb 0.000 0.000 0.000
Ac1 Ac 0.184 0.316 0.500
Si1 Si 0.000 0.500 0.000
O1 O 0.000 0.000 0.500
O2 O 0.118 0.618 0.226
# N(E_F) ... 2.6 states/eV/f.u.
# Formation energy (no corrections) ... -2.5320 eV per atom
# Crystal system ... tetragonal

# 7
# Sn2PtO PBE relaxed
data_Sn2PtO
_cell_length_a 5.811
_cell_length_b 5.811
_cell_length_c 10.620
_cell_angle_alpha 90.00
_cell_angle_beta 90.00
_cell_angle_gamma 90.00
_space_group_name_H-M_alt 'I -4 2 d'
_space_group_IT_number 122
_space_group_name_Hall 'I -4 2bw'
loop_
_atom_site_label
_atom_site_type_symbol
_atom_site_fract_x
_atom_site_fract_y
_atom_site_fract_z
Sn1 Sn 0.208 0.250 0.125
Pt1 Pt 0.000 0.000 0.500
O1 O 0.000 0.000 0.000
# N(E_F) ... 1.0 states/eV/f.u.
# Formation energy (no corrections) ... -0.5695 eV per atom
# Crystal system ... tetragonal

# 8
# CaPm2In2 PBE relaxed
data_CaPm2In2
_cell_length_a 9.498
_cell_length_b 5.466
_cell_length_c 6.601
_cell_angle_alpha 90.00
_cell_angle_beta 118.90
_cell_angle_gamma 90.00
_space_group_name_H-M_alt 'C 1 2/m 1'
_space_group_IT_number 12
loop_
_space_group_symop_operation_xyz
'x,y,z'
'-x,-y,-z'
'-x,y,-z'
'x,-y,z'
'x+1/2,y+1/2,z'
'-x+1/2,-y+1/2,-z'
'-x+1/2,y+1/2,-z'
'x+1/2,-y+1/2,z'
loop_
_atom_site_label
_atom_site_type_symbol
_atom_site_fract_x
_atom_site_fract_y
_atom_site_fract_z
Ca1 Ca 0.000 0.000 0.000
Pm1 Pm 0.223 0.000 0.671
In1 In 0.083 0.500 0.754
# N(E_F) ... 1.9 states/eV/f.u.
# Offset from the most stable computed form ... 0.000 eV per atom
# Crystal system ... monoclinic
# Formation energy from the elements ... -200.4 kJ/mol of formula units

# 9
# CdNi PBE relaxed
data_CdNi
_cell_length_a 9.974
_cell_length_b 2.917
_cell_length_c 6.841
_cell_angle_alpha 90.00
_cell_angle_beta 110.20
_cell_angle_gamma 90.00
_space_group_name_H-M_alt 'C 1 m 1'
_space_group_IT_number 8
loop_
_space_group_symop_operation_xyz
'x,y,z'
'x,-y,z'
'x+1/2,y+1/2,z'
'x+1/2,-y+1/2,z'
loop_
_atom_site_label
_atom_site_type_symbol
_atom_site_fract_x
_atom_site_fract_y
_atom_site_fract_z
Cd1 Cd 0.000 0.000 0.000
Cd2 Cd 0.010 0.000 0.575
Cd3 Cd 0.194 0.500 0.359
Ni1 Ni 0.206 0.500 0.919
Ni2 Ni 0.305 0.000 0.710
Ni3 Ni 0.365 0.000 0.205
# N(E_F) ... 1.7 states/eV/f.u.
# Crystal system ... monoclinic
# Formation energy from the elements ... 20.2 kJ/mol of formula units

# 10
# TiGeTe2N PBE relaxed
data_TiGeTe2N
_cell_length_a 5.593
_cell_length_b 5.593
_cell_length_c 3.541
_cell_angle_alpha 90.00
_cell_angle_beta 90.00
_cell_angle_gamma 90.00
_space_group_name_H-M_alt 'P 4/m m m'
_space_group_IT_number 123
_space_group_name_Hall '-P 4 2'
loop_
_atom_site_label
_atom_site_type_symbol
_atom_site_fract_x
_atom_site_fract_y
_atom_site_fract_z
Ti1 Ti 0.000 0.000 0.000
Ge1 Ge 0.500 0.500 0.500
Te1 Te 0.000 0.500 0.500
N1 N 0.500 0.500 0.000
# N(E_F) ... 4.0 states/eV/f.u.
# Offset from the most stable computed form ... 0.551 eV per atom
# Formation energy (no corrections) ... 0.6008 eV per atom
# Crystal system ... tetragonal

# 11
# CeNiGe2Ru PBE relaxed
data_CeNiGe2Ru
_cell_length_a 4.089
_cell_length_b 4.089
_cell_length_c 10.500
_cell_angle_alpha 90.00
_cell_angle_beta 90.00
_cell_angle_gamma 90.00
_space_group_name_H-M_alt 'I -4 m 2'
_space_group_IT_number 119
_space_group_name_Hall 'I -4 -2'
loop_
_atom_site_label
_atom_site_type_symbol
_atom_site_fract_x
_atom_site_fract_y
_atom_site_fract_z
Ce1 Ce 0.000 0.000 0.000
Ni1 Ni 0.000 0.500 0.250
Ge1 Ge 0.000 0.000 0.375
Ru1 Ru 0.000 0.500 0.750
# N(E_F) ... 5.9 states/eV/f.u.
# Crystal system ... tetragonal
# Formation energy from the elements ... -294.6 kJ/mol of formula units

# 12
# CeNdZrIn PBE relaxed
data_CeNdZrIn
_cell_length_a 7.499
_cell_length_b 7.499
_cell_length_c 7.499
_cell_angle_alpha 90.00
_cell_angle_beta 90.00
_cell_angle_gamma 90.00
_space_group_name_H-M_alt 'F -4 3 m'
_space_group_IT_number 216
_space_group_name_Hall 'F -4 2 3'
loop_
_atom_site_label
_atom_site_type_symbol
_atom_site_fract_x
_atom_site_fract_y
_atom_site_fract_z
Ce1 Ce 0.000 0.000 0.000
Nd1 Nd 0.250 0.250 0.750
Zr1 Zr 0.250 0.250 0.250
In1 In 0.000 0.000 0.500
# N(E_F) ... 6.8 states/eV/f.u.
# Crystal system ... cubic
# Formation energy from the elements ... -9.3 kJ/mol of formula units

# 13
# KZrF5 PBE relaxed
data_KZrF5
_cell_length_a 7.512
_cell_length_b 8.618
_cell_length_c 10.886
_cell_angle_alpha 75.38
_cell_angle_beta 71.88
_cell_angle_gamma 66.21
_space_group_name_H-M_alt 'P -1'
_space_group_IT_number 2
loop_
_space_group_symop_operation_xyz
'x,y,z'
'-x,-y,-z'
loop_
_atom_site_label
_atom_site_type_symbol
_atom_site_fract_x
_atom_site_fract_y
_atom_site_fract_z
K1 K 0.221 0.006 0.268
K2 K 0.248 0.654 0.573
K3 K 0.275 0.316 0.928
Zr1 Zr 0.217 0.529 0.245
Zr2 Zr 0.241 0.834 0.931
Zr3 Zr 0.266 0.159 0.580
F1 F 0.077 0.738 0.362
F2 F 0.092 0.056 0.037
F3 F 0.110 0.386 0.698
F4 F 0.129 0.629 0.056
F5 F 0.155 0.336 0.213
F6 F 0.166 0.006 0.526
F7 F 0.172 0.370 0.438
F8 F 0.186 0.746 0.798
F9 F 0.188 0.053 0.777
F10 F 0.321 0.740 0.123
F11 F 0.436 0.508 0.325
F12 F 0.464 0.922 0.904
F13 F 0.478 0.223 0.611
F14 F 0.490 0.096 0.398
F15 F 0.491 0.387 0.115
# N(E_F) ... 0.0 states/eV/f.u.
# Offset from the most stable computed form ... 0.000 eV per atom
# Formation energy (no corrections) ... -3.5068 eV per atom
# Crystal system ... triclinic

# 14
# La2BiH PBE relaxed
data_La2BiH
_cell_length_a 6.515
_cell_length_b 6.538
_cell_length_c 12.250
_cell_angle_alpha 90.00
_cell_angle_beta 118.72
_cell_angle_gamma 90.00
_space_group_name_H-M_alt 'P 1 2/c 1'
_space_group_IT_number 13
loop_
_space_group_symop_operation_xyz
'x,y,z'
'-x,-y,-z'
'-x,y,-z+1/2'
'x,-y,z+1/2'
loop_
_atom_site_label
_atom_site_type_symbol
_atom_site_fract_x
_atom_site_fract_y
_atom_site_fract_z
La1 La 0.070 0.243 0.075
La2 La 0.312 0.225 0.824
Bi1 Bi 0.383 0.276 0.375
H1 H 0.009 0.106 0.875
# N(E_F) ... 3.3 states/eV/f.u.
# Offset from the most stable computed form ... 0.140 eV per atom
# Crystal system ... monoclinic

# 15
# Mg3PdBr PBE relaxed
data_Mg3PdBr
_cell_length_a 5.109
_cell_length_b 5.109
_cell_length_c 5.109
_cell_angle_alpha 90.00
_cell_angle_beta 90.00
_cell_angle_gamma 90.00
_space_group_name_H-M_alt 'P m -3 m'
_space_group_IT_number 221
_space_group_name_Hall '-P 4 2 3'
loop_
_atom_site_label
_atom_site_type_symbol
_atom_site_fract_x
_atom_site_fract_y
_atom_site_fract_z
Mg1 Mg 0.000 0.000 0.500
Pd1 Pd 0.000 0.000 0.000
Br1 Br 0.500 0.500 0.500
# N(E_F) ... 1.8 states/eV/f.u.
# Offset from the most stable computed form ... 0.000 eV per atom
# Formation energy (no corrections) ... -0.3443 eV per atom
# Crystal system ... cubic

# 16
# Li3Ac2HgAu4 PBE relaxed
data_Li3Ac2HgAu4
_cell_length_a 4.500
_cell_length_b 4.500
_cell_length_c 11.224
_cell_angle_alpha 90.00
_cell_angle_beta 90.00
_cell_angle_gamma 90.00
_space_group_name_H-M_alt 'P -4 m 2'
_space_group_IT_number 115
loop_
_space_group_symop_operation_xyz
'x,y,z'
'y,-x,-z'
'-x,-y,z'
'-y,x,-z'
'-x,y,z'
'-y,-x,-z'
'x,-y,z'
'y,x,-z'
loop_
_atom_site_label
_atom_site_type_symbol
_atom_site_fract_x
_atom_site_fract_y
_atom_site_fract_z
Li1 Li 0.000 0.000 0.000
Li2 Li 0.000 0.500 0.606
Ac1 Ac 0.000 0.500 0.263
Hg1 Hg 0.500 0.500 0.000
Au1 Au 0.000 0.000 0.500
Au2 Au 0.000 0.500 0.833
Au3 Au 0.500 0.500 0.500
# N(E_F) ... 5.2 states/eV/f.u.
# Crystal system ... tetragonal
# Formation energy from the elements ... -581.2 kJ/mol of formula units

# 17
# CePu5Sn3 PBE relaxed
data_CePu5Sn3
_cell_length_a 8.570
_cell_length_b 8.570
_cell_length_c 13.074
_cell_angle_alpha 90.00
_cell_angle_beta 90.00
_cell_angle_gamma 90.00
_space_group_name_H-M_alt 'I 4/m c m'
_space_group_IT_number 140
_space_group_name_Hall '-I 4 2c'
loop_
_atom_site_label
_atom_site_type_symbol
_atom_site_fract_x
_atom_site_fract_y
_atom_site_fract_z
Ce1 Ce 0.000 0.500 0.250
Pu1 Pu 0.000 0.000 0.000
Pu2 Pu 0.194 0.306 0.150
Sn1 Sn 0.000 0.000 0.250
Sn2 Sn 0.115 0.385 0.500
# N(E_F) ... 32.3 states/eV/f.u.
# Crystal system ... tetragonal
# Formation energy from the elements ... -121.0 kJ/mol of formula units

# 18
# CuC5 PBE relaxed
data_CuC5
_cell_length_a 2.478
_cell_length_b 2.660
_cell_length_c 13.800
_cell_angle_alpha 90.00
_cell_angle_beta 90.00
_cell_angle_gamma 90.00
_space_group_name_H-M_alt 'A m m 2'
_space_group_IT_number 38
loop_
_space_group_symop_operation_xyz
'x,y,z'
'-x,-y,z'
'-x,y,z'
'x,-y,z'
'x,y+1/2,z+1/2'
'-x,-y+1/2,z+1/2'
'-x,y+1/2,z+1/2'
'x,-y+1/2,z+1/2'
loop_
_atom_site_label
_atom_site_type_symbol
_atom_site_fract_x
_atom_site_fract_y
_atom_site_fract_z
Cu1 Cu 0.000 0.000 0.000
C1 C 0.000 0.000 0.393
C2 C 0.000 0.000 0.683
C3 C 0.500 0.000 0.331
C4 C 0.500 0.000 0.629
C5 C 0.500 0.000 0.771
# N(E_F) ... 2.2 states/eV/f.u.
# Offset from the most stable computed form ... 0.572 eV per atom
# Crystal system ... orthorhombic
# Formation energy from the elements ... 782.8 kJ/mol of formula units

# 19
# LiAc4Si4 PBE relaxed
data_LiAc4Si4
_cell_length_a 8.779
_cell_length_b 8.779
_cell_length_c 6.522
_cell_angle_alpha 90.00
_cell_angle_beta 90.00
_cell_angle_gamma 90.00
_space_group_name_H-M_alt 'P 42/n'
_space_group_IT_number 86
loop_
_space_group_symop_operation_xyz
'x,y,z'
'-x,-y,-z'
'-y,x+1/2,z+1/2'
'y,-x+1/2,-z+1/2'
'-x+1/2,-y+1/2,z'
'x+1/2,y+1/2,-z'
'y+1/2,-x,z+1/2'
'-y+1/2,x,-z+1/2'
loop_
_atom_site_label
_atom_site_type_symbol
_atom_site_fract_x
_atom_site_fract_y
_atom_site_fract_z
Li1 Li 0.250 0.250 0.250
Ac1 Ac 0.037 0.675 0.094
Si1 Si 0.013 0.371 0.420
# N(E_F) ... 3.3 states/eV/f.u.
# Formation energy (no corrections) ... -0.4484 eV per atom
# Crystal system ... tetragonal

# 20
# Nd4TeI5 PBE relaxed
data_Nd4TeI5
_cell_length_a 19.465
_cell_length_b 4.401
_cell_length_c 9.176
_cell_angle_alpha 90.00
_cell_angle_beta 102.31
_cell_angle_gamma 90.00
_space_group_name_H-M_alt 'C 1 2/m 1'
_space_group_IT_number 12
loop_
_space_group_symop_operation_xyz
'x,y,z'
'-x,-y,-z'
'-x,y,-z'
'x,-y,z'
'x+1/2,y+1/2,z'
'-x+1/2,-y+1/2,-z'
'-x+1/2,y+1/2,-z'
'x+1/2,-y+1/2,z'
loop_
_atom_site_label
_atom_site_type_symbol
_atom_site_fract_x
_atom_site_fract_y
_atom_site_fract_z
Nd1 Nd 0.001 0.000 0.276
Nd2 Nd 0.157 0.500 0.566
Te1 Te 0.000 0.500 0.500
I1 I 0.000 0.500 0.000
I2 I 0.167 0.000 0.826
I3 I 0.172 0.000 0.311
# N(E_F) ... 4.0 states/eV/f.u.
# Formation energy (no corrections) ... -1.2510 eV per atom
# Crystal system ... monoclinic

# 21
# NpGe3Rh PBE relaxed
data_NpGe3Rh
_cell_length_a 8.241
_cell_length_b 4.141
_cell_length_c 11.008
_cell_angle_alpha 90.00
_cell_angle_beta 90.00
_cell_angle_gamma 90.00
_space_group_name_H-M_alt 'P n m a'
_space_group_IT_number 62
loop_
_space_group_symop_operation_xyz
'x,y,z'
'-x,-y,-z'
'-x+1/2,-y,z+1/2'
'x+1/2,y,-z+1/2'
'x+1/2,-y+1/2,-z+1/2'
'-x+1/2,y+1/2,z+1/2'
'-x,y+1/2,-z'
'x,-y+1/2,z'
loop_
_atom_site_label
_atom_site_type_symbol
_atom_site_fract_x
_atom_site_fract_y
_atom_site_fract_z
Np1 Np 0.187 0.250 0.023
Ge1 Ge 0.065 0.250 0.576
Ge2 Ge 0.097 0.750 0.199
Ge3 Ge 0.128 0.750 0.829
Rh1 Rh 0.075 0.250 0.337
# N(E_F) ... 7.8 states/eV/f.u.
# Crystal system ... orthorhombic
# Formation energy from the elements ... -161.4 kJ/mol of formula units